NiPdNF2 | PBE+U | relaxed

Output
Calculated volume   59.12 Å³ per cell
M_tot   2.8 μB/cell
Fermi-level density of states   0.410 states/eV per atom
Uncorrected energy   -4.048 eV/atom

Geometry as POSCAR:
```
NiPdNF2
1.0
3.807 0.000 0.000
0.000 3.807 0.000
0.000 0.000 4.080
Ni Pd N F
1 1 1 2
direct
0.000 0.000 0.000
0.500 0.500 0.500
0.000 0.000 0.500
0.000 0.500 0.000
0.500 0.000 0.000
```